(1)
A relaxed structure of SiMoCl2, computed with PBE.

Results
- Formation energy (no corrections): 0.81 eV/atom
- Distance to the lowest polymorph of the same formula: 4.58 eV/f.u.
- Calculated total energy: -4.1807 eV/atom

Lattice parameters (Å, degrees): 4.6304 4.6304 3.1534 90.00 90.00 90.00
With the nearest neighbours (Å) after each atom.
Space group P4/mmm (No. 123)
Inequivalent atoms, fractional coordinates:
Si 0.0000 0.0000 0.0000  8 Cl 2.80
Mo 0.5000 0.5000 0.0000  8 Cl 2.80
Cl 0.0000 0.5000 0.5000  4 Mo 2.80, 4 Si 2.80

(2)
A relaxed structure of SiAgSCl2, computed with PBE.

Results
- Formation energy (no corrections): -0.11 eV/atom
- Distance to the lowest polymorph of the same formula: 0.00 eV/f.u.
- Calculated total energy: -3.3325 eV/atom

Lattice parameters (Å, degrees): 4.7956 4.7956 4.5972 90.00 90.00 90.00
With the nearest neighbours (Å) after each atom.
Space group P4/mmm (No. 123)
Inequivalent atoms, fractional coordinates:
Si 0.0000 0.0000 0.0000  2 S 2.30, 4 Cl 2.40
Ag 0.5000 0.5000 0.5000  8 Cl 3.32, 4 S 3.39
S 0.0000 0.0000 0.5000  2 Si 2.30
Cl 0.0000 0.5000 0.0000  2 Si 2.40

(3)
A relaxed structure of Cs3Hg13Au2, computed with PBE.

Results
- Calculated total energy: -0.8972 eV/atom

Lattice parameters (Å, degrees): 6.8300 6.8300 14.4207 90.00 90.00 120.00
With the nearest neighbours (Å) after each atom.
Space group P6/mmm (No. 191)
Inequivalent atoms, fractional coordinates:
Cs 0.0000 0.0000 0.0000  6 Au 3.94, 12 Hg 4.05
Cs 0.0000 0.0000 0.3310  18 Hg 3.95-4.29
Hg 0.0000 0.5000 0.1507  2 Au 2.93, 2 Hg 3.16
Hg 0.0000 0.5000 0.5000  8 Hg 3.23-3.41
Hg 0.3333 0.6667 0.3223  6 Hg 3.16-3.23
Au 0.3333 0.6667 0.0000  6 Hg 2.93